Here is a relaxed BaTmTh crystal from the Open Quantum Materials Database. Energies are from PBE.

## Properties
electronic total energy: -3.64 eV per atom

abc: 5.692 5.692 5.692
angles: 60.00 60.00 60.00
Atoms (fractional coordinates):
1 Ba 0.000 0.000 0.000
2 Tm 0.250 0.250 0.250
3 Th 0.500 0.500 0.500


Here is a relaxed HfZn2Au2 crystal from the Open Quantum Materials Database. Energies are from PBE.

## Properties
calculated formation energy: -0.07 eV/atom
relative energy among the computed polymorphs: 0.177 eV per atom

abc: 6.229 6.229 6.229
angles: 142.25 142.25 54.45
Atoms (fractional coordinates):
1 Hf 0.000 0.000 0.000
2 Zn 0.397 0.397 0.000
3 Zn 0.603 0.603 0.000
4 Au 0.250 0.750 0.500
5 Au 0.750 0.250 0.500


Here is a relaxed ZrBeFeAs crystal from the Open Quantum Materials Database. Energies are from PBE.

## Properties
relative energy among the computed polymorphs: 0.000 eV per atom

abc: 4.279 4.279 4.279
angles: 60.00 60.00 60.00
Atoms (fractional coordinates):
1 Zr 0.000 0.000 0.000
2 Be 0.250 0.250 0.250
3 Fe 0.750 0.750 0.750
4 As 0.500 0.500 0.500


Here is a relaxed Zr5Au3 crystal from the Open Quantum Materials Database. Energies are from PBE.

## Properties
calculated formation energy: -0.40 eV/atom

abc: 8.506 8.506 5.349
angles: 90.00 90.00 120.00
Atoms (fractional coordinates):
1 Zr 0.000 0.244 0.250
2 Zr 0.000 0.756 0.750
3 Zr 0.244 0.000 0.250
4 Zr 0.244 0.244 0.750
5 Zr 0.333 0.667 0.000
6 Zr 0.333 0.667 0.500
7 Zr 0.667 0.333 0.000
8 Zr 0.667 0.333 0.500
9 Zr 0.756 0.000 0.750
10 Zr 0.756 0.756 0.250
11 Au 0.000 0.394 0.750
12 Au 0.000 0.606 0.250
13 Au 0.394 0.000 0.750
14 Au 0.394 0.394 0.250
15 Au 0.606 0.000 0.250
16 Au 0.606 0.606 0.750


Here is a relaxed SmYBe2Si2 crystal from the Open Quantum Materials Database. Energies are from PBE.

## Properties
electronic total energy: -5.57 eV per atom

abc: 3.900 3.900 8.189
angles: 90.00 90.00 120.00
Atoms (fractional coordinates):
1 Sm 0.000 0.000 0.000
2 Y 0.000 0.000 0.500
3 Be 0.333 0.667 0.746
4 Be 0.667 0.333 0.254
5 Si 0.333 0.667 0.255
6 Si 0.667 0.333 0.745


Here is a relaxed YHo2Hg5 crystal from the Open Quantum Materials Database. Energies are from PBE.

## Properties
calculated formation energy: -0.42 eV/atom

abc: 5.098 6.373 6.373
angles: 69.36 90.00 90.00
Atoms (fractional coordinates):
1 Y 0.000 0.000 0.000
2 Ho 0.000 0.560 0.560
3 Ho 0.500 0.255 0.255
4 Hg 0.000 0.063 0.502
5 Hg 0.000 0.502 0.063
6 Hg 0.500 0.262 0.747
7 Hg 0.500 0.747 0.262
8 Hg 0.500 0.761 0.761


Here is a relaxed HfCuSiOs crystal from the Open Quantum Materials Database. Energies are from PBE.

## Properties
relative energy among the computed polymorphs: 0.000 eV per atom

abc: 4.381 4.381 4.381
angles: 60.00 60.00 60.00
Atoms (fractional coordinates):
1 Hf 0.000 0.000 0.000
2 Cu 0.750 0.750 0.750
3 Si 0.500 0.500 0.500
4 Os 0.250 0.250 0.250


Here is a relaxed Ag2PbS2 crystal from the Open Quantum Materials Database. Energies are from PBE.

## Properties
relative energy among the computed polymorphs: 0.120 eV per atom

abc: 7.970 9.579 5.857
angles: 90.00 90.00 90.00
Atoms (fractional coordinates):
1 Ag 0.122 0.067 0.250
2 Ag 0.122 0.433 0.750
3 Ag 0.350 0.250 0.000
4 Ag 0.350 0.250 0.500
5 Ag 0.650 0.750 0.000
6 Ag 0.650 0.750 0.500
7 Ag 0.878 0.567 0.250
8 Ag 0.878 0.933 0.750
9 Pb 0.306 0.591 0.250
10 Pb 0.306 0.909 0.750
11 Pb 0.694 0.091 0.250
12 Pb 0.694 0.409 0.750
13 S 0.089 0.138 0.750
14 S 0.089 0.362 0.250
15 S 0.421 0.594 0.750
16 S 0.421 0.906 0.250
17 S 0.579 0.094 0.750
18 S 0.579 0.406 0.250
19 S 0.911 0.638 0.750
20 S 0.911 0.862 0.250


How do the records compare in calculated volume? In the order shown, they have 43.47, 17.99, 13.85, 20.95, 17.98, 24.22, 14.86, 22.36 Å³/atom.